[1]
CeGa3Ni: relaxed, PBEsol.

a b c (Å): 5.8959 5.8959 5.8959
angles (deg): 139.42 139.42 58.73
Last column: nearest neighbours and their distance in Å.
Sites, in units of the cell vectors:
Ce1 0.0000 0.0000 0.0000  12 Ga 3.14-3.28, 4 Ni 3.28
Ga1 0.2500 0.7500 0.5000  4 Ga 2.45
Ga2 0.3813 0.3813 0.0000  3 Ga 2.44-2.45, 2 Ni 2.45
Ga3 0.6187 0.6187 0.0000  3 Ga 2.44-2.45, 2 Ni 2.45
Ni1 0.7500 0.2500 0.5000  4 Ga 2.45

Properties
ΔH_f (0 K) = -0.515 eV per atom
Symmetry = I-4m2

[2]
CeGaNi4: relaxed, PBEsol.

a b c (Å): 4.9960 4.9960 3.8373
angles (deg): 90.00 90.00 120.00
Last column: nearest neighbours and their distance in Å.
Sites, in units of the cell vectors:
Ce1 0.0000 0.0000 0.0000  15 Ni 2.88-3.15, 3 Ga 2.88
Ga1 0.6667 0.3333 0.0000  6 Ni 2.41
Ni1 0.0051 0.5025 0.5000  6 Ni 2.39-2.54, 2 Ga 2.41
Ni2 0.3333 0.6667 0.0000  6 Ni 2.39
Ni3 0.4975 0.5025 0.5000  6 Ni 2.39-2.54, 2 Ga 2.41
Ni4 0.4975 0.9949 0.5000  6 Ni 2.39-2.54, 2 Ga 2.41

Properties
ΔH_f (0 K) = -0.423 eV per atom
Symmetry = P-6m2

[3]
Ce2Ga12Ni: relaxed, PBEsol.

a b c (Å): 5.9353 5.9353 15.2099
angles (deg): 90.00 90.00 90.00
Last column: nearest neighbours and their distance in Å.
Sites, in units of the cell vectors:
Ce1 0.2500 0.7500 0.2428  14 Ga 3.10-3.32
Ce2 0.2500 0.7500 0.7572  14 Ga 3.10-3.32
Ce3 0.7500 0.2500 0.2428  14 Ga 3.10-3.32
Ce4 0.7500 0.2500 0.7572  14 Ga 3.10-3.32
Ga1 0.0002 0.9998 0.0844  2 Ni 2.46, 3 Ga 2.57-2.58
Ga2 0.9998 0.0002 0.9156  2 Ni 2.46, 3 Ga 2.57-2.58
Ga3 0.9998 0.4998 0.0844  2 Ni 2.46, 3 Ga 2.57-2.58
Ga4 0.0002 0.5002 0.9156  2 Ni 2.46, 3 Ga 2.57-2.58
Ga5 0.0787 0.5787 0.4283  3 Ga 2.55-2.58
Ga6 0.0787 0.9213 0.5717  3 Ga 2.55-2.58
Ga7 0.2500 0.2500 0.1829  5 Ga 2.39-2.58
Ga8 0.2500 0.2500 0.3401  5 Ga 2.39-2.58
Ga9 0.2500 0.2500 0.6599  5 Ga 2.39-2.58
Ga10 0.2500 0.2500 0.8171  5 Ga 2.39-2.58
Ga11 0.4213 0.5787 0.5717  3 Ga 2.55-2.58
Ga12 0.4213 0.9213 0.4283  3 Ga 2.55-2.58
Ga13 0.5002 0.0002 0.0844  2 Ni 2.46, 3 Ga 2.57-2.58
Ga14 0.4998 0.9998 0.9156  2 Ni 2.46, 3 Ga 2.57-2.58
Ga15 0.4998 0.5002 0.0844  2 Ni 2.46, 3 Ga 2.57-2.58
Ga16 0.5002 0.4998 0.9156  2 Ni 2.46, 3 Ga 2.57-2.58
Ga17 0.5787 0.0787 0.5717  3 Ga 2.55-2.58
Ga18 0.5787 0.4213 0.4283  3 Ga 2.55-2.58
Ga19 0.7500 0.7500 0.1829  5 Ga 2.39-2.58
Ga20 0.7500 0.7500 0.3401  5 Ga 2.39-2.58
Ga21 0.7500 0.7500 0.6599  5 Ga 2.39-2.58
Ga22 0.7500 0.7500 0.8171  5 Ga 2.39-2.58
Ga23 0.9213 0.0787 0.4283  3 Ga 2.55-2.58
Ga24 0.9213 0.4213 0.5717  3 Ga 2.55-2.58
Ni1 0.2500 0.7500 0.0000  8 Ga 2.46
Ni2 0.7500 0.2500 0.0000  8 Ga 2.46

Properties
ΔH_f (0 K) = -0.420 eV per atom
Symmetry = P4/nbm

[4]
CeGaNi4: relaxed, PBEsol.

a b c (Å): 4.8037 4.8037 4.0239
angles (deg): 90.00 90.00 117.82
Last column: nearest neighbours and their distance in Å.
Sites, in units of the cell vectors:
Ce1 0.0000 0.0000 0.0000  6 Ni 2.69-2.86
Ga1 0.5000 0.5000 0.5000  8 Ni 2.40-2.46
Ni1 0.0000 0.5000 0.5000  2 Ga 2.40, 6 Ni 2.45-2.48
Ni2 0.3272 0.6728 0.0000  4 Ni 2.45, 2 Ga 2.46, 1 Ce 2.69
Ni3 0.5000 0.0000 0.5000  2 Ga 2.40, 6 Ni 2.45-2.48
Ni4 0.6728 0.3272 0.0000  4 Ni 2.45, 2 Ga 2.46, 1 Ce 2.69

Properties
ΔH_f (0 K) = -0.476 eV per atom
Symmetry = Cmmm

[5]
CeGa4Os: relaxed, PBEsol.

a b c (Å): 9.3806 8.7463 7.5835
angles (deg): 90.00 90.00 90.00
Last column: nearest neighbours and their distance in Å.
Sites, in units of the cell vectors:
Ce1 0.2500 0.0000 0.1741  10 Ga 2.93-3.20
Ce2 0.2500 0.2549 0.6634  10 Ga 3.01-3.10
Ce3 0.2500 0.7451 0.6634  10 Ga 3.01-3.10
Ce4 0.7500 0.0000 0.8259  10 Ga 2.93-3.20
Ce5 0.7500 0.2549 0.3366  10 Ga 3.01-3.10
Ce6 0.7500 0.7451 0.3366  10 Ga 3.01-3.10
Ga1 0.0000 0.0000 0.5000  6 Ga 2.72-2.75
Ga2 0.0642 0.5000 0.8379  3 Os 2.63-2.66, 5 Ga 2.72-2.78
Ga3 0.0800 0.2603 0.3231  2 Os 2.57-2.60, 4 Ga 2.66-2.78
Ga4 0.0800 0.7397 0.3231  2 Os 2.57-2.60, 4 Ga 2.66-2.78
Ga5 0.0904 0.0000 0.8414  2 Os 2.56, 1 Ga 2.72
Ga6 0.2500 0.3434 0.0465  2 Os 2.54, 6 Ga 2.72-2.79
Ga7 0.2500 0.5000 0.3677  2 Os 2.55, 6 Ga 2.66-2.79
Ga8 0.2500 0.6566 0.0465  2 Os 2.54, 6 Ga 2.72-2.79
Ga9 0.4096 0.0000 0.8414  2 Os 2.56, 1 Ga 2.72
Ga10 0.4200 0.2603 0.3231  2 Os 2.57-2.60, 4 Ga 2.66-2.78
Ga11 0.4200 0.7397 0.3231  2 Os 2.57-2.60, 4 Ga 2.66-2.78
Ga12 0.4358 0.5000 0.8379  3 Os 2.63-2.66, 5 Ga 2.72-2.78
Ga13 0.5000 0.0000 0.5000  6 Ga 2.72-2.75
Ga14 0.5642 0.5000 0.1621  3 Os 2.63-2.66, 5 Ga 2.72-2.78
Ga15 0.5800 0.2603 0.6769  2 Os 2.57-2.60, 4 Ga 2.66-2.78
Ga16 0.5800 0.7397 0.6769  2 Os 2.57-2.60, 4 Ga 2.66-2.78
Ga17 0.5904 0.0000 0.1586  2 Os 2.56, 1 Ga 2.72
Ga18 0.7500 0.3434 0.9535  2 Os 2.54, 6 Ga 2.72-2.79
Ga19 0.7500 0.5000 0.6323  2 Os 2.55, 6 Ga 2.66-2.79
Ga20 0.7500 0.6566 0.9535  2 Os 2.54, 6 Ga 2.72-2.79
Ga21 0.9096 0.0000 0.1586  2 Os 2.56, 1 Ga 2.72
Ga22 0.9200 0.2603 0.6769  2 Os 2.57-2.60, 4 Ga 2.66-2.78
Ga23 0.9200 0.7397 0.6769  2 Os 2.57-2.60, 4 Ga 2.66-2.78
Ga24 0.9358 0.5000 0.1621  3 Os 2.63-2.66, 5 Ga 2.72-2.78
Os1 0.0000 0.2390 0.0000  8 Ga 2.54-2.66
Os2 0.0000 0.5000 0.5000  8 Ga 2.55-2.63
Os3 0.0000 0.7610 0.0000  8 Ga 2.54-2.66
Os4 0.5000 0.2390 0.0000  8 Ga 2.54-2.66
Os5 0.5000 0.5000 0.5000  8 Ga 2.55-2.63
Os6 0.5000 0.7610 0.0000  8 Ga 2.54-2.66

Properties
ΔH_f (0 K) = -0.487 eV per atom
Symmetry = Pmma

[6]
CeGaPd: relaxed, PBEsol.

a b c (Å): 6.8050 4.4675 7.7166
angles (deg): 90.00 90.00 90.00
Last column: nearest neighbours and their distance in Å.
Sites, in units of the cell vectors:
Ce1 0.0158 0.2500 0.2079  5 Pd 2.91-3.13, 6 Ga 3.08-3.19
Ce2 0.4842 0.7500 0.7079  5 Pd 2.91-3.13, 6 Ga 3.08-3.19
Ce3 0.5158 0.2500 0.2921  5 Pd 2.91-3.13, 6 Ga 3.08-3.19
Ce4 0.9842 0.7500 0.7921  5 Pd 2.91-3.13, 6 Ga 3.08-3.19
Ga1 0.1820 0.2500 0.5806  4 Pd 2.61-2.76
Ga2 0.3180 0.7500 0.0806  4 Pd 2.61-2.76
Ga3 0.6820 0.2500 0.9194  4 Pd 2.61-2.76
Ga4 0.8180 0.7500 0.4194  4 Pd 2.61-2.76
Pd1 0.2227 0.7500 0.4100  4 Ga 2.61-2.76, 1 Ce 2.91
Pd2 0.2773 0.2500 0.9100  4 Ga 2.61-2.76, 1 Ce 2.91
Pd3 0.7227 0.7500 0.0900  4 Ga 2.61-2.76, 1 Ce 2.91
Pd4 0.7773 0.2500 0.5900  4 Ga 2.61-2.76, 1 Ce 2.91

Properties
ΔH_f (0 K) = -0.762 eV per atom
Symmetry = Pnma

[7]
Ce2Ga10Pd: relaxed, PBEsol.

a b c (Å): 13.1668 13.1668 13.1668
angles (deg): 161.05 161.05 26.92
Last column: nearest neighbours and their distance in Å.
Sites, in units of the cell vectors:
Ce1 0.1452 0.1452 0.0000  16 Ga 3.22-3.45
Ce2 0.8548 0.8548 0.0000  16 Ga 3.22-3.45
Ga1 0.0524 0.5524 0.5000  2 Pd 2.55, 3 Ga 2.56-2.68
Ga2 0.2500 0.7500 0.5000  4 Ga 2.54
Ga3 0.3020 0.3020 0.0000  5 Ga 2.37-2.54
Ga4 0.3944 0.3944 0.0000  5 Ga 2.37-2.56
Ga5 0.4476 0.9476 0.5000  2 Pd 2.55, 3 Ga 2.56-2.68
Ga6 0.5524 0.0524 0.5000  2 Pd 2.55, 3 Ga 2.56-2.68
Ga7 0.6056 0.6056 0.0000  5 Ga 2.37-2.56
Ga8 0.6980 0.6980 0.0000  5 Ga 2.37-2.54
Ga9 0.7500 0.2500 0.5000  4 Ga 2.54
Ga10 0.9476 0.4476 0.5000  2 Pd 2.55, 3 Ga 2.56-2.68
Pd1 0.0000 0.0000 0.0000  8 Ga 2.55

Properties
ΔH_f (0 K) = -0.483 eV per atom
Symmetry = I4/mmm

[8]
CeGa6Pd: relaxed, PBEsol.

a b c (Å): 4.3005 4.3005 7.7987
angles (deg): 90.00 90.00 90.00
Last column: nearest neighbours and their distance in Å.
Sites, in units of the cell vectors:
Ce1 0.0000 0.0000 0.0000  16 Ga 3.26-3.33
Ga1 0.0000 0.5000 0.3257  2 Pd 2.54, 3 Ga 2.55-2.72
Ga2 0.0000 0.5000 0.6743  2 Pd 2.54, 3 Ga 2.55-2.72
Ga3 0.5000 0.0000 0.3257  2 Pd 2.54, 3 Ga 2.55-2.72
Ga4 0.5000 0.0000 0.6743  2 Pd 2.54, 3 Ga 2.55-2.72
Ga5 0.5000 0.5000 0.1500  5 Ga 2.34-2.55
Ga6 0.5000 0.5000 0.8500  5 Ga 2.34-2.55
Pd1 0.0000 0.0000 0.5000  8 Ga 2.54

Properties
ΔH_f (0 K) = -0.509 eV per atom
Symmetry = P4/mmm

Question: Which value of ΔH_f (0 K) does entry 1 give?
Answer: -0.515 eV per atom

Question: What is the ΔH_f (0 K) in the first record?
Answer: -0.515 eV per atom

Please write out number 2 again, unchanged.
CeGaNi4: relaxed, PBEsol.

a b c (Å): 4.9960 4.9960 3.8373
angles (deg): 90.00 90.00 120.00
Last column: nearest neighbours and their distance in Å.
Sites, in units of the cell vectors:
Ce1 0.0000 0.0000 0.0000  15 Ni 2.88-3.15, 3 Ga 2.88
Ga1 0.6667 0.3333 0.0000  6 Ni 2.41
Ni1 0.0051 0.5025 0.5000  6 Ni 2.39-2.54, 2 Ga 2.41
Ni2 0.3333 0.6667 0.0000  6 Ni 2.39
Ni3 0.4975 0.5025 0.5000  6 Ni 2.39-2.54, 2 Ga 2.41
Ni4 0.4975 0.9949 0.5000  6 Ni 2.39-2.54, 2 Ga 2.41

Properties
ΔH_f (0 K) = -0.423 eV per atom
Symmetry = P-6m2